Model a:
# MgNiCl2 (PBE-GGA, optimized geometry)
# - DOS(E_F): 10.47 states/eV/cell
# - V: 22.371 A^3/atom
data_MgNiCl2
_cell_length_a 3.5013
_cell_length_b 3.5013
_cell_length_c 25.2856
_cell_angle_alpha 90.00
_cell_angle_beta 90.00
_cell_angle_gamma 120.00
_space_group_name_H-M_alt 'R 3 m'
_space_group_IT_number 160
_space_group_name_Hall 'R 3 -2"'
loop_
_atom_site_label
_atom_site_fract_x
_atom_site_fract_y
_atom_site_fract_z
Mg1 0.0000 0.0000 0.0000
Ni1 0.0000 0.0000 0.7484
Cl1 0.0000 0.0000 0.2757
Cl2 0.0000 0.0000 0.4577

---

Model b:
# MgNiCl2 (PBE-GGA, optimized geometry)
# - DOS(E_F): 3.11 states/eV/cell
# - V: 16.652 A^3/atom
data_MgNiCl2
_cell_length_a 4.471
_cell_length_b 4.471
_cell_length_c 3.332
_cell_angle_alpha 90.00
_cell_angle_beta 90.00
_cell_angle_gamma 90.00
_space_group_name_H-M_alt 'P 4/m m m'
_space_group_IT_number 123
_space_group_name_Hall '-P 4 2'
loop_
_atom_site_label
_atom_site_fract_x
_atom_site_fract_y
_atom_site_fract_z
Mg1 0.000 0.000 0.000
Ni1 0.500 0.500 0.000
Cl1 0.000 0.500 0.500

---

Model c:
# MgNiCl2 (PBE-GGA, optimized geometry)
# - DOS(E_F): 2.08 states/eV/cell
# - V: 20.757 A^3/atom
data_MgNiCl2
_cell_length_a 3.248
_cell_length_b 3.595
_cell_length_c 14.222
_cell_angle_alpha 90.00
_cell_angle_beta 90.00
_cell_angle_gamma 90.00
_space_group_name_H-M_alt 'I m m 2'
_space_group_IT_number 44
_space_group_name_Hall 'I 2 -2'
loop_
_atom_site_label
_atom_site_fract_x
_atom_site_fract_y
_atom_site_fract_z
Mg1 0.000 0.000 0.000
Ni1 0.000 0.500 0.646
Cl1 0.000 0.000 0.415
Cl2 0.000 0.500 0.149

---

model a takes first place; second place is 10.3 kJ/mol of atoms up.